Density functional theory data (PBE) for a geometry-optimized KBiMo structure.

Properties
- E_tot: -4.3152 eV per atom
- Size of the total moment: 16.00 Bohr magnetons per cell
- Space group: No. 216

Cell and atoms, written as extended XYZ:
```
12
Lattice="7.3295 0.0000 0.0000 0.0000 7.3295 0.0000 0.0000 0.0000 7.3295" Properties=species:S:1:pos:R:3 pbc="T T T"
K 0.0000 0.0000 0.0000
K 0.0000 3.6648 3.6648
K 3.6648 0.0000 3.6648
K 3.6648 3.6648 0.0000
Bi 0.0000 0.0000 3.6648
Bi 0.0000 3.6648 0.0000
Bi 3.6648 0.0000 0.0000
Bi 3.6648 3.6648 3.6648
Mo 1.8324 1.8324 5.4971
Mo 1.8324 5.4971 1.8324
Mo 5.4971 1.8324 1.8324
Mo 5.4971 5.4971 5.4971
```


Density functional theory data (PBE) for a geometry-optimized Li2Sc2SiGePd2 structure.

Properties
- E_tot: -5.3662 eV per atom
- Size of the total moment: 0.00 Bohr magnetons per cell
- Space group: No. 115

Cell and atoms, written as extended XYZ:
```
8
Lattice="4.4167 0.0000 0.0000 0.0000 4.4167 0.0000 0.0000 0.0000 6.2476" Properties=species:S:1:pos:R:3 pbc="T T T"
Li 0.0000 2.2084 1.5498
Li 2.2084 0.0000 4.6978
Sc 0.0000 0.0000 0.0000
Sc 2.2084 2.2084 3.1238
Si 2.2084 2.2084 0.0000
Ge 0.0000 0.0000 3.1238
Pd 0.0000 2.2084 4.7354
Pd 2.2084 0.0000 1.5123
```


Density functional theory data (PBE) for a geometry-optimized AcNbSb structure.

Properties
- E_tot: -5.2418 eV per atom
- Size of the total moment: 17.85 Bohr magnetons per cell
- Space group: No. 216

Cell and atoms, written as extended XYZ:
```
12
Lattice="7.6319 0.0000 0.0000 0.0000 7.6319 0.0000 0.0000 0.0000 7.6319" Properties=species:S:1:pos:R:3 pbc="T T T"
Ac 0.0000 0.0000 0.0000
Ac 0.0000 3.8160 3.8160
Ac 3.8160 0.0000 3.8160
Ac 3.8160 3.8160 0.0000
Nb 1.9080 1.9080 5.7239
Nb 1.9080 5.7239 1.9080
Nb 5.7239 1.9080 1.9080
Nb 5.7239 5.7239 5.7239
Sb 1.9080 1.9080 1.9080
Sb 1.9080 5.7239 5.7239
Sb 5.7239 1.9080 5.7239
Sb 5.7239 5.7239 1.9080
```


Density functional theory data (PBE) for a geometry-optimized SmNi2Pt structure.

Properties
- Size of the total moment: 0.93 Bohr magnetons per cell
- Formation energy from the elements: -0.588 eV per atom
- Space group: No. 166

Cell and atoms, written as extended XYZ:
```
12
Lattice="2.5709 1.4843 8.5415 -2.5709 1.4843 8.5415 0.0000 -2.9686 8.5415" Properties=species:S:1:pos:R:3 pbc="T T T"
Sm 0.0000 0.0000 0.0000
Sm 0.0000 0.0000 3.5341
Sm 0.0000 0.0000 22.0903
Ni -1.3009 -0.7511 10.6790
Ni 0.0000 -1.5021 14.9455
Ni -1.3009 0.7511 14.9455
Ni 1.3009 -0.7511 10.6790
Ni 0.0000 1.5021 10.6790
Ni 1.3009 0.7511 14.9454
Pt 0.0000 0.0000 8.5241
Pt 0.0000 0.0000 12.8122
Pt 0.0000 0.0000 17.1003
```


Density functional theory data (PBE) for a geometry-optimized CsK3As2Au2 structure.

Properties
- E_tot: -3.0017 eV per atom
- Space group: No. 6

Cell and atoms, written as extended XYZ:
```
8
Lattice="6.4101 0.0000 0.0000 0.0000 6.5706 0.0000 -1.9062 0.0000 6.2455" Properties=species:S:1:pos:R:3 pbc="T T T"
Cs 0.0000 0.0000 0.0000
K -0.3701 3.2853 2.1706
K 0.9740 0.0000 4.1112
K 3.1454 3.2853 4.3006
As 0.0390 3.2853 5.7457
As 4.0454 0.0000 2.7199
Au 3.0607 1.6631 1.0899
Au 3.0607 4.9075 1.0899
```


Density functional theory data (PBE) for a geometry-optimized Li3PaNi8 structure.

Properties
- E_tot: -5.1966 eV per atom
- Size of the total moment: 0.44 Bohr magnetons per cell
- Space group: No. 160

Cell and atoms, written as extended XYZ:
```
12
Lattice="2.3962 1.3834 7.8063 -2.3962 1.3834 7.8063 0.0000 -2.7669 7.8063" Properties=species:S:1:pos:R:3 pbc="T T T"
Li 0.0000 0.0000 0.0000
Li 0.0000 0.0000 2.6400
Li 0.0000 0.0000 11.1918
Pa 0.0000 0.0000 14.3103
Ni 0.0000 -1.3923 5.0044
Ni -1.2058 0.6962 5.0044
Ni -1.2005 -0.6931 8.9212
Ni 0.0000 0.0000 6.9869
Ni 1.2005 -0.6931 8.9212
Ni 0.0000 1.3862 8.9212
Ni 1.2058 0.6962 5.0044
Ni 0.0000 0.0000 18.6679
```